No. 1
# Sr2HgIr (PBE-GGA, relaxed)
data_Sr2HgIr
_cell_length_a 6.7305
_cell_length_b 6.7305
_cell_length_c 5.1316
_cell_angle_alpha 67.39
_cell_angle_beta 67.39
_cell_angle_gamma 32.66
_symmetry_space_group_name_H-M 'P 1'
_symmetry_Int_Tables_number 1
_symmetry_space_group_name_Hall 'P 1'
loop_
_atom_site_label
_atom_site_fract_x
_atom_site_fract_y
_atom_site_fract_z
Hg1 0.5600 0.5600 0.4390
Ir1 0.2372 0.2372 0.2642
Sr1 0.9514 0.9514 0.0477
Sr2 0.7514 0.7514 0.7491
# Final energy   -3.26 eV per atom
# Calculated density   8.21 g/cm3
# Formation energy   -0.1331 eV/atom
# Crystal system   monoclinic
# Spin magnetization   0.0000 μB per atom

***

No. 2
# VTe2Cl (PBE-GGA, relaxed)
data_VTe2Cl
_cell_length_a 3.6049
_cell_length_b 3.6049
_cell_length_c 8.5357
_cell_angle_alpha 77.81
_cell_angle_beta 77.81
_cell_angle_gamma 60.00
_symmetry_space_group_name_H-M 'P 1'
_symmetry_Int_Tables_number 1
_symmetry_space_group_name_Hall 'P 1'
loop_
_atom_site_label
_atom_site_fract_x
_atom_site_fract_y
_atom_site_fract_z
Cl1 0.5000 0.5000 0.5000
Te1 0.2640 0.2640 0.2080
Te2 0.7360 0.7360 0.7920
V1 0.0000 0.0000 0.0000
# Final energy   -4.58 eV per atom
# Calculated density   6.09 g/cm3
# Crystal system   trigonal
# Raw formation energy   -1.08 eV/f.u.
# ΔE to the lowest computed polymorph   0 meV/atom
# Spin magnetization   0.0002 μB per atom

***

No. 3
# Y3Cl (PBE-GGA, relaxed)
data_Y3Cl
_cell_length_a 12.5137
_cell_length_b 12.5137
_cell_length_c 12.5137
_cell_angle_alpha 159.46
_cell_angle_beta 159.46
_cell_angle_gamma 29.21
_symmetry_space_group_name_H-M 'P 1'
_symmetry_Int_Tables_number 1
_symmetry_space_group_name_Hall 'P 1'
loop_
_atom_site_label
_atom_site_fract_x
_atom_site_fract_y
_atom_site_fract_z
Y1 0.5000 0.0000 0.5000
Y2 0.0000 0.5000 0.5000
Y3 0.2500 0.7500 0.5000
Y4 0.7500 0.2500 0.5000
Y5 0.8810 0.8810 0.0000
Y6 0.1190 0.1190 0.0000
Cl1 0.6706 0.6706 0.0000
Cl2 0.3294 0.3294 0.0000
# Final energy   -5.43 eV per atom
# Calculated density   4.16 g/cm3
# Crystal system   tetragonal
# Raw formation energy   -0.49 eV/f.u.
# ΔE to the lowest computed polymorph   536 meV/atom
# Spin magnetization   0.0002 μB per atom

***

No. 4
# NdSi4Rh4 (PBE-GGA, relaxed)
data_NdSi4Rh4
_cell_length_a 4.1821
_cell_length_b 8.5852
_cell_length_c 8.5852
_cell_angle_alpha 90.00
_cell_angle_beta 90.00
_cell_angle_gamma 90.00
_symmetry_space_group_name_H-M 'P 1'
_symmetry_Int_Tables_number 1
_symmetry_space_group_name_Hall 'P 1'
loop_
_atom_site_label
_atom_site_fract_x
_atom_site_fract_y
_atom_site_fract_z
Nd1 0.0000 0.0000 0.0000
Nd2 0.5000 0.5000 0.5000
Si1 0.5001 0.8372 0.2784
Si2 0.5001 0.1628 0.7216
Si3 0.0001 0.7784 0.6628
Si4 0.9999 0.3372 0.7784
Si5 0.9999 0.6628 0.2216
Si6 0.4999 0.2784 0.1628
Si7 0.4999 0.7216 0.8372
Si8 0.0001 0.2216 0.3372
Rh1 0.4999 0.3565 0.9062
Rh2 0.9999 0.5938 0.8565
Rh3 0.4999 0.6435 0.0938
Rh4 0.0001 0.1435 0.5938
Rh5 0.5001 0.9062 0.6435
Rh6 0.0001 0.8565 0.4062
Rh7 0.9999 0.4062 0.1435
Rh8 0.5001 0.0938 0.3565
# Final energy   -6.98 eV per atom
# Calculated density   7.20 g/cm3
# Crystal system   tetragonal
# Raw formation energy   -6.99 eV/f.u.
# Spin magnetization   0.0000 μB per atom

***

No. 5
# LaSnAu (PBE-GGA, relaxed)
data_LaSnAu
_cell_length_a 4.5907
_cell_length_b 7.1772
_cell_length_c 5.1508
_cell_angle_alpha 70.76
_cell_angle_beta 90.00
_cell_angle_gamma 90.00
_symmetry_space_group_name_H-M 'P 1'
_symmetry_Int_Tables_number 1
_symmetry_space_group_name_Hall 'P 1'
loop_
_atom_site_label
_atom_site_fract_x
_atom_site_fract_y
_atom_site_fract_z
Au1 0.6299 0.1622 0.1082
Au2 0.1297 0.0926 0.6805
Sn1 0.6296 0.7861 0.8198
Sn2 0.1296 0.4687 0.9687
La1 0.6298 0.4026 0.4966
La2 0.1300 0.8523 0.2920
# Final energy   -4.81 eV per atom
# Calculated density   9.42 g/cm3
# Formation energy   -0.7364 eV/atom
# Crystal system   monoclinic
# Spin magnetization   0.0000 μB per atom

***

No. 6
# Cd2RuBr (PBE-GGA, relaxed)
data_Cd2RuBr
_cell_length_a 10.3720
_cell_length_b 10.3720
_cell_length_c 10.3720
_cell_angle_alpha 17.28
_cell_angle_beta 17.28
_cell_angle_gamma 17.28
_symmetry_space_group_name_H-M 'P 1'
_symmetry_Int_Tables_number 1
_symmetry_space_group_name_Hall 'P 1'
loop_
_atom_site_label
_atom_site_fract_x
_atom_site_fract_y
_atom_site_fract_z
Ru1 0.4972 0.4972 0.4972
Br1 0.7717 0.7717 0.7717
Cd1 0.9946 0.9946 0.9946
Cd2 0.2365 0.2365 0.2365
# Final energy   -2.89 eV per atom
# Calculated density   7.84 g/cm3
# Crystal system   trigonal
# Raw formation energy   1.24 eV/f.u.
# ΔE to the lowest computed polymorph   143 meV/atom
# Spin magnetization   0.0000 μB per atom

***

No. 7
# LiZrHg2 (PBE-GGA, relaxed)
data_LiZrHg2
_cell_length_a 4.9919
_cell_length_b 3.3589
_cell_length_c 4.9852
_cell_angle_alpha 90.01
_cell_angle_beta 90.00
_cell_angle_gamma 90.00
_symmetry_space_group_name_H-M 'P 1'
_symmetry_Int_Tables_number 1
_symmetry_space_group_name_Hall 'P 1'
loop_
_atom_site_label
_atom_site_fract_x
_atom_site_fract_y
_atom_site_fract_z
Hg1 0.0000 0.1244 0.8765
Hg2 0.5000 0.1242 0.3738
Zr1 0.5000 0.6241 0.8738
Li1 0.0000 0.6274 0.3759
# Final energy   -2.99 eV per atom
# Calculated density   9.92 g/cm3
# Formation energy   -0.2262 eV/atom
# Crystal system   monoclinic
# Spin magnetization   0.0000 μB per atom